Computed, not measured: Zn2FeNi after structural relaxation at the GGA-PBE level of DFT.

Computed properties:
crystal system	tetragonal

Unit cell a=2.646 b=2.646 c=7.113 alpha=90.00 beta=90.00 gamma=90.00
Fractional coordinates of all 4 atoms:
Zn: 0.000 0.000 0.240
Zn: 0.000 0.000 0.760
Fe: 0.500 0.500 0.500
Ni: 0.500 0.500 0.000

Computed, not measured: AcScAu2 after structural relaxation at the GGA-PBE level of DFT.

Computed properties:
crystal system	cubic

Unit cell a=5.241 b=5.241 c=5.241 alpha=60.00 beta=60.00 gamma=60.00
Fractional coordinates of all 4 atoms:
Ac: 0.000 0.000 0.000
Sc: 0.500 0.500 0.500
Au: 0.250 0.250 0.250
Au: 0.750 0.750 0.750

The following energy of formation from the pure elements values (in eV/atom) correspond, in order, to the records above: -0.101, -0.633.